Version i
Entry from Alexandria via LeMat-Bulk: a relaxed structure of Cr5Ir3 (PBE).

**ρ**: 13.1 g cm⁻³
**Magnetic moment**: 0.240 μB per atom

Unit cell a=7.2951 b=7.5796 c=3.8464 alpha=90.00 beta=90.00 gamma=90.00
Last column: nearest neighbours and their distance in Å.
Space group Cmmm (No. 65)
Asymmetric unit:
Cr 0.0000 0.0000 0.0000 x2  4 Ir 2.58, 8 Cr 2.63-2.77
Cr 0.0000 0.2631 0.5000 x4  6 Ir 2.63-2.64, 6 Cr 2.65-2.77
Cr 0.2500 0.2500 0.0000 x4  6 Cr 2.63-2.65, 6 Ir 2.63-2.70
Ir 0.0000 0.5000 0.0000 x2  8 Cr 2.63, 4 Ir 2.73
Ir 0.2353 0.0000 0.5000 x4  10 Cr 2.58-2.70, 2 Ir 2.73

---

Version ii
Entry from Alexandria via LeMat-Bulk: a relaxed structure of Cr5Ir3 (PBE).

**ρ**: 12.6 g cm⁻³
**Magnetic moment**: 0.600 μB per atom

Unit cell a=7.3934 b=7.3934 c=4.6487 alpha=90.00 beta=90.00 gamma=120.00
Last column: nearest neighbours and their distance in Å.
Space group P6_3/mcm (No. 193)
Asymmetric unit:
Cr 0.0000 0.2264 0.2500 x6  5 Ir 2.57-2.75, 4 Cr 2.86
Cr 0.3333 0.6667 0.0000 x4  2 Cr 2.32, 6 Ir 2.54
Ir 0.0000 0.4010 0.7500 x6  9 Cr 2.54-2.75, 2 Ir 2.75

---

Most stable to least stable: version i, version ii

---

Version i
Entry from Alexandria via LeMat-Bulk: a relaxed structure of KCrIr (PBE).

**ρ**: 6.9 g cm⁻³
**Magnetic moment**: 0.978 μB per atom

Unit cell a=2.8625 b=3.8385 c=12.3219 alpha=90.00 beta=90.00 gamma=90.00
Last column: nearest neighbours and their distance in Å.
Space group Imm2 (No. 44)
Asymmetric unit:
K 0.0000 0.0000 0.0000 x2  2 K 2.86
Cr 0.0000 0.0000 0.7267 x2  4 Ir 2.51
Ir 0.0000 0.0000 0.2865 x2  4 Cr 2.51

---

Version ii
Entry from Alexandria via LeMat-Bulk: a relaxed structure of KCrIr (PBE).

**ρ**: 8.9 g cm⁻³
**Magnetic moment**: 0.000 μB per atom

Unit cell a=2.7778 b=2.7778 c=7.9475 alpha=90.00 beta=90.00 gamma=120.00
Last column: nearest neighbours and their distance in Å.
Space group P3m1 (No. 156)
Asymmetric unit:
K 0.0000 0.0000 0.0000 x1  6 K 2.78
Cr 0.3333 0.6667 0.3827 x1  3 Ir 2.54, 6 Cr 2.78
Ir 0.6667 0.3333 0.6297 x1  3 Cr 2.54, 6 Ir 2.78

---

Most stable to least stable: version i, version ii

---

Version i
Entry from Alexandria via LeMat-Bulk: a relaxed structure of KCrIr (PBE).

**ρ**: 7.8 g cm⁻³
**Magnetic moment**: 1.323 μB per atom

Unit cell a=4.8778 b=4.8778 c=2.9291 alpha=90.00 beta=90.00 gamma=120.00
Last column: nearest neighbours and their distance in Å.
Space group P-6m2 (No. 187)
Asymmetric unit:
K 0.0000 0.0000 0.0000 x1  2 K 2.93, 6 Cr 3.17, 6 Ir 3.17
Cr 0.6667 0.3333 0.5000 x1  3 Ir 2.82, 2 Cr 2.93
Ir 0.3333 0.6667 0.5000 x1  3 Cr 2.82, 2 Ir 2.93

---

Version ii
Entry from Alexandria via LeMat-Bulk: a relaxed structure of KCrIr (PBE).

**ρ**: 6.6 g cm⁻³
**Magnetic moment**: 1.307 μB per atom

Unit cell a=6.5695 b=6.5695 c=6.5695 alpha=90.00 beta=90.00 gamma=90.00
Last column: nearest neighbours and their distance in Å.
Space group F-43m (No. 216)
Asymmetric unit:
K 0.0000 0.0000 0.0000 x4  4 Ir 2.84
Cr 0.0000 0.0000 0.5000 x4  4 Ir 2.84
Ir 0.2500 0.2500 0.2500 x4  4 Cr 2.84, 4 K 2.84

---

Version iii
Entry from Alexandria via LeMat-Bulk: a relaxed structure of KCrIr (PBE).

**ρ**: 8.8 g cm⁻³
**Magnetic moment**: 0.152 μB per atom

Unit cell a=2.8985 b=4.6491 c=15.8263 alpha=90.00 beta=90.00 gamma=90.00
Last column: nearest neighbours and their distance in Å.
Space group Fmm2 (No. 42)
Asymmetric unit:
K 0.0000 0.0000 0.0000 x4  6 K 2.74-2.90
Cr 0.0000 0.0000 0.3079 x4  2 Ir 2.49, 4 Cr 2.74
Ir 0.0000 0.0000 0.6801 x4  2 Cr 2.49, 4 Ir 2.74

---

Version iv
Entry from Alexandria via LeMat-Bulk: a relaxed structure of KCrIr (PBE).

**ρ**: 6.3 g cm⁻³
**Magnetic moment**: 1.334 μB per atom

Unit cell a=6.6706 b=6.6706 c=6.6706 alpha=90.00 beta=90.00 gamma=90.00
Last column: nearest neighbours and their distance in Å.
Space group F-43m (No. 216)
Asymmetric unit:
K 0.0000 0.0000 0.0000 x4  4 Cr 2.89, 4 Ir 2.89
Cr 0.2500 0.2500 0.2500 x4  4 K 2.89
Ir 0.2500 0.2500 0.7500 x4  4 K 2.89

---

Most stable to least stable: version iii, version i, version ii, version iv

---

Version i
Entry from Alexandria via LeMat-Bulk: a relaxed structure of La2CrIr (PBE).

**ρ**: 8.4 g cm⁻³
**Magnetic moment**: 0.853 μB per atom

Unit cell a=4.0158 b=4.3291 c=11.8315 alpha=90.00 beta=90.00 gamma=90.00
Last column: nearest neighbours and their distance in Å.
Space group Amm2 (No. 38)
Asymmetric unit:
La 0.0000 0.0000 0.0000 x2  4 Ir 3.04, 2 Cr 3.19
La 0.5000 0.0000 0.2845 x2  4 Cr 3.12, 3 Ir 3.26-3.42
Cr 0.0000 0.0000 0.6983 x2  2 Ir 2.59
Ir 0.5000 0.0000 0.5605 x2  2 Cr 2.59

---

Version ii
Entry from Alexandria via LeMat-Bulk: a relaxed structure of La2CrIr (PBE).

**ρ**: 7.8 g cm⁻³
**Magnetic moment**: 0.005 μB per atom

Unit cell a=4.1180 b=4.1180 c=22.6068 alpha=90.00 beta=90.00 gamma=120.00
Last column: nearest neighbours and their distance in Å.
Space group R3m (No. 160, hexagonal axes)
Asymmetric unit:
La 0.0000 0.0000 0.0000 x3  3 Ir 3.03, 3 Cr 3.30
La 0.0000 0.0000 0.1841 x3  3 Cr 3.03, 3 Ir 3.30
Cr 0.0000 0.0000 0.7680 x3  3 Ir 2.41
Ir 0.0000 0.0000 0.4161 x3  3 Cr 2.41

---

Version iii
Entry from Alexandria via LeMat-Bulk: a relaxed structure of La2CrIr (PBE).

**ρ**: 8.9 g cm⁻³
**Magnetic moment**: 0.916 μB per atom

Unit cell a=5.0797 b=5.0797 c=3.7622 alpha=90.00 beta=90.00 gamma=90.00
Last column: nearest neighbours and their distance in Å.
Space group P4/mmm (No. 123)
Asymmetric unit:
La 0.0000 0.5000 0.0000 x2  4 Cr 3.16, 4 Ir 3.16
Cr 0.0000 0.0000 0.5000 x1  8 La 3.16
Ir 0.5000 0.5000 0.5000 x1  8 La 3.16

---

Most stable to least stable: version i, version ii, version iii

---

Version i
Entry from Alexandria via LeMat-Bulk: a relaxed structure of La2CrIr (PBE).

**ρ**: 9.5 g cm⁻³
**Magnetic moment**: 0.000 μB per atom

Unit cell a=7.1466 b=7.1466 c=7.1466 alpha=90.00 beta=90.00 gamma=90.00
Last column: nearest neighbours and their distance in Å.
Space group Fm-3m (No. 225)
Asymmetric unit:
La 0.2500 0.2500 0.2500 x8  4 Cr 3.09, 4 Ir 3.09
Cr 0.0000 0.0000 0.0000 x4  8 La 3.09
Ir 0.0000 0.0000 0.5000 x4  8 La 3.09

---

Version ii
Entry from Alexandria via LeMat-Bulk: a relaxed structure of La2CrIr (PBE).

**ρ**: 9.7 g cm⁻³
**Magnetic moment**: 1.167 μB per atom

Unit cell a=7.0918 b=7.0918 c=7.0918 alpha=90.00 beta=90.00 gamma=90.00
Last column: nearest neighbours and their distance in Å.
Space group F-43m (No. 216)
Asymmetric unit:
La 0.0000 0.0000 0.0000 x4  4 La 3.07, 4 Cr 3.07
La 0.2500 0.2500 0.2500 x4  4 Ir 3.07, 4 La 3.07
Cr 0.2500 0.2500 0.7500 x4  4 La 3.07, 4 Ir 3.07
Ir 0.0000 0.0000 0.5000 x4  4 Cr 3.07, 4 La 3.07

---

Most stable to least stable: version ii, version i

---

Version i
Entry from Alexandria via LeMat-Bulk: a relaxed structure of La2CrIr (PBE).

**ρ**: 8.8 g cm⁻³
**Magnetic moment**: 0.769 μB per atom

Unit cell a=3.6375 b=4.6875 c=11.5188 alpha=90.00 beta=90.00 gamma=90.00
Last column: nearest neighbours and their distance in Å.
Space group Imm2 (No. 44)
Asymmetric unit:
La 0.0000 0.0000 0.0000 x2  4 Ir 3.02, 2 Cr 3.30
La 0.0000 0.5000 0.2122 x2  4 Cr 3.13, 2 La 3.39
Cr 0.0000 0.5000 0.7982 x2  2 Ir 2.53
Ir 0.0000 0.0000 0.4504 x2  2 Cr 2.53

---

Version ii
Entry from Alexandria via LeMat-Bulk: a relaxed structure of La2CrIr (PBE).

**ρ**: 9.3 g cm⁻³
**Magnetic moment**: 0.162 μB per atom

Unit cell a=3.1743 b=3.1743 c=9.2190 alpha=90.00 beta=90.00 gamma=90.00
Last column: nearest neighbours and their distance in Å.
Space group P4mm (No. 99)
Asymmetric unit:
La 0.0000 0.0000 0.0000 x1  4 La 3.17, 4 Ir 3.20, 1 Cr 3.44
La 0.5000 0.5000 0.3857 x1  4 Cr 3.16, 4 La 3.17, 1 Ir 3.39
Cr 0.0000 0.0000 0.6266 x1  4 Ir 2.53
Ir 0.5000 0.5000 0.7529 x1  4 Cr 2.53

---

Most stable to least stable: version i, version ii